No. 1
The following is a GGA-PBE calculation of a geometry-optimized Ta3B2 structure, from Alexandria.

Properties
For the total energy, the calculation gives -9.688 eV/atom. As for the density of states at the Fermi level: 2.75 states/eV/f.u. The formation energy comes out at 0.095 eV/atom.

Cell lengths 3.1244, 3.1244, 7.2599 Å; angles 102.43, 102.43, 90.00 degrees
Sites, in units of the cell vectors:
Ta 0.1862 0.1862 0.3724
Ta 0.0000 0.0000 0.0000
Ta 0.8138 0.8138 0.6276
B 0.6136 0.6136 0.2273
B 0.3864 0.3864 0.7727

***

No. 2
The following is a GGA-PBE calculation of a geometry-optimized HfGeBiIr2N structure, from Alexandria.

Properties
For the total energy, the calculation gives -7.877 eV/atom. As for the density of states at the Fermi level: 2.87 states/eV/f.u. The formation energy without anion corrections is -460 meV per atom.

Cell lengths 3.6281, 3.6362, 9.6489 Å; angles 89.64, 89.79, 60.19 degrees
Sites, in units of the cell vectors:
Ir 0.9102 0.7824 0.3881
Ir 0.9105 0.7867 0.1027
Ge 0.2436 0.1189 0.2474
N 0.9113 0.7900 0.8838
Bi 0.5766 0.4434 0.5840
Hf 0.2445 0.1242 0.8971

***

no.,polymorph energy (0 for the lowest one) (meV per atom)
1,767
2,34